# YGaSb2Te (PBEsol, optimized geometry)
data_YGaSb2Te
_chemical_formula_sum 'Y1 Ga1 Sb2 Te1'
_space_group_name_H-M_alt 'P 1'
_space_group_IT_number 1
_space_group_name_Hall 'P 1'
_cell_length_a 5.7061
_cell_length_b 5.7061
_cell_length_c 5.7215
_cell_angle_alpha 90.00
_cell_angle_beta 90.00
_cell_angle_gamma 90.00
loop_
_atom_site_label
_atom_site_type_symbol
_atom_site_fract_x
_atom_site_fract_y
_atom_site_fract_z
Y1 Y 0.0000 0.0000 0.0000
Ga1 Ga 0.5000 0.5000 0.5000
Sb1 Sb 0.0000 0.5000 0.0000
Sb2 Sb 0.5000 0.0000 0.0000
Te1 Te 0.0000 0.0000 0.5000
# space group = P4/mmm
# total energy = -4.328 eV per atom
# D(E_F) = 0.90 states/eV per atom